1.
Compound: Zn2RhCl
Source: Alexandria via LeMat-Bulk
Functional: GGA-PBE
Structure: optimized geometry

It has space group Pmmm (No. 47), with a = 2.9506 Å, b = 4.3772 Å, c = 4.8511 Å, α = 90.00°, β = 90.00° and γ = 90.00°. The inequivalent atoms are Zn at (0.0000, 0.0000, 0.0000), Zn at (0.5000, 0.5000, 0.0000), Rh at (0.0000, 0.5000, 0.5000) and Cl at (0.5000, 0.0000, 0.5000).

The total moment is 0.0 μB/f.u. The calculation puts the formation energy (no corrections) at 0.154 eV per atom. For the offset from the most stable computed form, the calculation gives 539 meV/atom.


2.
Compound: ZnRhCl2
Source: Alexandria via LeMat-Bulk
Functional: GGA-PBE
Structure: optimized geometry

It has space group R-3m (No. 166, hexagonal axes), with a = 3.3610 Å, b = 3.3610 Å, c = 22.9208 Å, α = 90.00°, β = 90.00° and γ = 120.00°. The inequivalent atoms are Zn at (0.0000, 0.0000, 0.0000), Rh at (0.0000, 0.0000, 0.5000) and Cl at (0.0000, 0.0000, 0.3998).

The total moment is 0.2 μB/f.u. The calculation puts the formation energy (no corrections) at -0.053 eV per atom. For the offset from the most stable computed form, the calculation gives 307 meV/atom.